No. 1
Entry from Alexandria: a geometry-optimized NiW2Au structure (PBE).

Cell lengths 2.742, 2.742, 8.126 Å; angles 90.00, 90.00, 90.00 degrees
Positions (direct):
Au1 0.000 0.000 0.515
Ni1 0.500 0.500 0.763
W1 0.000 0.000 0.973
W2 0.500 0.500 0.248

Calculated values
Size of the total moment, μB/cell: 0.000
Calculated formation energy, eV/atom: 0.172



No. 2
Entry from Alexandria: a geometry-optimized TaSiP4 structure (PBE).

Cell lengths 5.004, 5.004, 5.004 Å; angles 60.00, 60.00, 60.00 degrees
Positions (direct):
Ta1 0.000 0.000 0.000
Si1 0.750 0.750 0.750
P1 0.879 0.374 0.374
P2 0.374 0.374 0.879
P3 0.374 0.879 0.374
P4 0.374 0.374 0.374

Calculated values
ΔE_f (raw), eV per atom: 0.627
Size of the total moment, μB/cell: 0.000



No. 3
Entry from Alexandria: a geometry-optimized BeSe2NF structure (PBE).

Cell lengths 4.590, 4.590, 3.886 Å; angles 90.00, 90.00, 90.00 degrees
Positions (direct):
Be1 0.500 0.500 0.500
N1 0.000 0.000 0.500
Se1 0.000 0.500 0.000
Se2 0.500 0.000 0.000
F1 0.000 0.000 0.000

Calculated values
ΔE_f (raw), eV per atom: 1.492
Size of the total moment, μB/cell: 1.854



No. 4
Entry from Alexandria: a geometry-optimized MgSc4Re structure (PBE).

Cell lengths 5.612, 5.612, 5.612 Å; angles 60.00, 60.00, 60.00 degrees
Positions (direct):
Mg1 0.750 0.750 0.750
Sc1 0.883 0.372 0.372
Sc2 0.372 0.372 0.883
Sc3 0.372 0.883 0.372
Sc4 0.372 0.372 0.372
Re1 0.000 0.000 0.000

Calculated values
Size of the total moment, μB/cell: 0.000
Calculated formation energy, eV/atom: 0.531



The following electronic total energy values (in eV per cell) correspond, in order, to the records above: -34.3, -35.2, -13.4, -36.2.
The following calculated volume values (in Å³/f.u.) correspond, in order, to the records above: 61.1, 88.6, 81.9, 125.0.
The following ρ values (in g/cm3) correspond, in order, to the records above: 16.94, 6.24, 4.06, 5.19.